This record from Alexandria via LeMat-Bulk describes Li3CeZn9 after structural relaxation. The functional is PBE.

Output
The value obtained for the energy of formation is -0.18 eV per atom. As for the space group: C2/m (12). The volume comes out at 205.86 Å³ per cell.

Geometry as POSCAR:
```
Li3CeZn9
1.0
-1.763 0.456 4.535
1.076 -5.779 3.719
4.843 2.574 4.257
Li Ce Zn
3 1 9
direct
0.500 0.500 0.000
0.000 0.000 0.500
0.500 0.000 0.500
0.000 0.000 0.000
0.724 0.781 0.776
0.276 0.219 0.224
0.499 0.219 0.776
0.501 0.781 0.224
0.635 0.353 0.355
0.365 0.647 0.645
0.010 0.647 0.355
0.990 0.353 0.645
0.000 0.500 0.000
```